## LiFePO4 (GGA+U)

Data for a relaxed structure of LiFePO4.

abc: 5.219 8.338 9.011
angles: 89.99 90.00 90.00
Each line ends with the local moment (μB).
Fractional coordinates of all 28 atoms:
Li 0.869 0.074 0.575  0.00
Li 0.369 0.426 0.075  0.00
Li 0.869 0.574 0.925  0.00
Li 0.369 0.926 0.425  0.00
Fe 0.515 0.345 0.533  3.76
Fe 0.015 0.655 0.467  3.76
Fe 0.015 0.155 0.033  3.76
Fe 0.515 0.845 0.967  3.76
P 0.576 0.232 0.872  0.01
P 0.076 0.268 0.372  0.01
P 0.576 0.732 0.628  0.01
P 0.076 0.768 0.128  0.01
O 0.677 0.072 0.946  0.04
O 0.177 0.428 0.446  0.04
O 0.677 0.572 0.554  0.04
O 0.177 0.928 0.054  0.04
O 0.217 0.133 0.458  0.02
O 0.717 0.367 0.958  0.02
O 0.217 0.633 0.042  0.02
O 0.717 0.867 0.542  0.02
O 0.286 0.255 0.893  0.03
O 0.786 0.245 0.393  0.03
O 0.286 0.755 0.607  0.03
O 0.786 0.745 0.107  0.03
O 0.652 0.222 0.706  0.03
O 0.152 0.278 0.206  0.03
O 0.652 0.722 0.794  0.03
O 0.152 0.778 0.294  0.03

Values from the calculation:
For the offset from the most stable computed form, the calculation gives 56 meV per atom. As for the symmetry: No. 33.